# PdRuSN2 (PBE-GGA, relaxed)
# Energy relative to the elements, uncorrected ... 0.8438 eV/atom
# D(E_F) ... 5.335 states/eV/f.u.
# Distance to the lowest polymorph of the same formula ... 0 meV per atom
data_PdRuSN2
_chemical_formula_sum 'Pd1 Ru1 S1 N2'
_cell_length_a 3.721
_cell_length_b 3.721
_cell_length_c 5.284
_cell_angle_alpha 90.00
_cell_angle_beta 90.00
_cell_angle_gamma 90.00
_symmetry_space_group_name_H-M 'P 4/m m m'
_symmetry_Int_Tables_number 123
_symmetry_space_group_name_Hall '-P 4 2'
loop_
_atom_site_label
_atom_site_type_symbol
_atom_site_fract_x
_atom_site_fract_y
_atom_site_fract_z
Pd1 Pd 0.000 0.000 0.000
Ru1 Ru 0.500 0.500 0.500
S1 S 0.500 0.500 0.000
N1 N 0.000 0.500 0.500



# Na2EuCO3F3 (PBE-GGA, relaxed)
# Energy relative to the elements, uncorrected ... -2.5058 eV/atom
# D(E_F) ... 14.290 states/eV/f.u.
data_Na2EuCO3F3
_chemical_formula_sum 'Na16 Eu8 C8 O24 F24'
_cell_length_a 6.714
_cell_length_b 10.993
_cell_length_c 14.384
_cell_angle_alpha 90.00
_cell_angle_beta 90.00
_cell_angle_gamma 90.00
_symmetry_space_group_name_H-M 'P b c a'
_symmetry_Int_Tables_number 61
loop_
_symmetry_equiv_pos_as_xyz
'x,y,z'
'-x,-y,-z'
'-x+1/2,-y,z+1/2'
'x+1/2,y,-z+1/2'
'x+1/2,-y+1/2,-z'
'-x+1/2,y+1/2,z'
'-x,y+1/2,-z+1/2'
'x,-y+1/2,z+1/2'
loop_
_atom_site_label
_atom_site_type_symbol
_atom_site_fract_x
_atom_site_fract_y
_atom_site_fract_z
Na1 Na 0.054 0.009 0.104
Na2 Na 0.248 0.720 0.756
Eu1 Eu 0.000 0.186 0.487
C1 C 0.001 0.016 0.321
O1 O 0.009 0.563 0.756
O2 O 0.051 0.128 0.309
O3 O 0.065 0.013 0.596
F1 F 0.154 0.620 0.483
F2 F 0.193 0.215 0.105
F3 F 0.206 0.164 0.915